# Te3POs

A PBEsol-optimized structure of Te3POs (meta-GGA SCAN, Alexandria).

Cell lengths 5.1107, 5.1107, 5.1107 Å; angles 90.00, 90.00, 90.00 degrees
Sites, in units of the cell vectors:
Te (0.0000, 0.0000, 0.5000)
Te (0.0000, 0.5000, 0.0000)
Te (0.5000, 0.0000, 0.0000)
P (0.5000, 0.5000, 0.5000)
Os (0.0000, 0.0000, 0.0000)

Summary:
**M_tot**: 0.0 μB per cell
**DFT total energy**: -37.736 eV per atom


# Ga2SiSe

A PBEsol-optimized structure of Ga2SiSe (meta-GGA SCAN, Alexandria).

Cell lengths 4.6600, 4.6600, 4.6600 Å; angles 60.00, 60.00, 60.00 degrees
Sites, in units of the cell vectors:
Ga (0.2500, 0.2500, 0.2500)
Ga (0.7500, 0.7500, 0.7500)
Si (0.0000, 0.0000, 0.0000)
Se (0.5000, 0.5000, 0.5000)

Summary:
**M_tot**: 0.0 μB per cell
**DFT total energy**: -15.227 eV per atom
**E above lowest polymorph**: 728 meV/atom


# La2BeHg

A PBEsol-optimized structure of La2BeHg (meta-GGA SCAN, Alexandria).

Cell lengths 9.3950, 9.3950, 9.3950 Å; angles 22.68, 22.68, 22.68 degrees
Sites, in units of the cell vectors:
La (0.2410, 0.2410, 0.2410)
La (0.7590, 0.7590, 0.7590)
Be (0.5000, 0.5000, 0.5000)
Hg (0.0000, 0.0000, 0.0000)

Summary:
**M_tot**: 0.0 μB per cell
**Energy of formation**: 0.0020 eV/atom
**DFT total energy**: -39.680 eV per atom
**E above lowest polymorph**: 87 meV/atom